ZrTcCl, relaxed, DFT PBE; VASP energy = -0.2602 hartree per atom; E above lowest polymorph = 128 meV/atom; space group = Fmm2, No. 42; crystal system = orthorhombic; E_form (uncorrected) = -46.0 kJ/mol of formula units
1.0
7.539 0.047 -0.034
6.646 3.007 -0.030
0.893 -0.960 2.800
Cl Tc Zr
1 1 1
direct
0.027 0.027 0.973
0.305 0.305 0.695
0.669 0.669 0.331



ZrTcCl, relaxed, DFT PBE; VASP energy = -0.2560 hartree per atom; E above lowest polymorph = 241 meV/atom; space group = I4mm, No. 107; crystal system = tetragonal; E_form (uncorrected) = -13.4 kJ/mol of formula units
1.0
-3.979 5.322 0.421
-4.850 2.621 3.735
5.907 -2.953 -0.855
Cl Tc Zr
1 1 1
direct
0.020 0.020 0.000
0.308 0.308 0.000
0.672 0.672 0.000



ZrTc2Cl, relaxed, DFT PBE; VASP energy = -0.2829 hartree per atom; E above lowest polymorph = 303 meV/atom; space group = C2/m, No. 12; crystal system = monoclinic; E_form (uncorrected) = 32.4 kJ/mol of formula units
1.0
-4.786 -0.704 2.605
-4.019 -3.453 1.455
2.033 -0.956 3.640
Cl Tc Zr
1 2 1
direct
0.250 0.250 0.250
0.034 0.034 0.964
0.466 0.466 0.536
0.750 0.750 0.750



ZrTc2Cl, relaxed, DFT PBE; VASP energy = -0.2660 hartree per atom; E above lowest polymorph = 764 meV/atom; space group = P4/mmm, No. 123; crystal system = tetragonal; E_form (uncorrected) = 210.2 kJ/mol of formula units
1.0
-0.519 -2.854 -3.478
4.457 0.153 -0.791
0.436 -2.492 1.979
Cl Tc Zr
1 2 1
direct
0.000 0.500 0.500
0.000 0.000 0.000
0.500 0.500 0.000
0.500 0.000 0.500



Zr3TcCl, relaxed, DFT PBE; VASP energy = -0.2615 hartree per atom; E above lowest polymorph = 174 meV/atom; space group = Pm-3m, No. 221; crystal system = cubic; E_form (uncorrected) = 220.0 kJ/mol of formula units
1.0
-2.601 2.354 -3.697
-4.365 -1.781 1.936
-0.398 4.155 2.925
Tc Zr Cl
1 3 1
direct
0.000 0.000 0.000
0.000 0.500 0.000
0.000 0.000 0.500
0.500 0.000 0.000
0.500 0.500 0.500



Zr2TcCl, relaxed, DFT PBE; VASP energy = -0.2582 hartree per atom; E above lowest polymorph = 981 meV/atom; space group = I-42d, No. 122; crystal system = tetragonal; E_form (uncorrected) = 116.7 kJ/mol of formula units
1.0
-2.764 -3.844 2.974
3.467 -3.957 -1.892
4.361 -2.830 5.650
Tc Zr Cl
2 4 2
direct
0.000 0.000 0.000
0.750 0.250 0.500
0.650 0.125 0.250
0.100 0.625 0.250
0.375 0.350 0.750
0.875 0.900 0.750
0.500 0.500 0.000
0.250 0.750 0.500



Zr2TcCl, relaxed, DFT PBE; VASP energy = -0.2494 hartree per atom; E above lowest polymorph = 1221 meV/atom; space group = F-43m, No. 216; crystal system = cubic; E_form (uncorrected) = 209.1 kJ/mol of formula units
1.0
-0.977 3.071 3.473
-4.488 1.249 0.866
-2.156 -1.494 3.946
Cl Tc Zr
1 1 2
direct
0.500 0.500 0.500
0.250 0.250 0.250
0.000 0.000 0.000
0.750 0.750 0.750



Zr2TcCl, relaxed, DFT PBE; VASP energy = -0.2920 hartree per atom; E above lowest polymorph = 60 meV/atom; space group = C2/m, No. 12; crystal system = monoclinic; E_form (uncorrected) = -238.9 kJ/mol of formula units
1.0
-1.087 2.182 2.176
-3.123 -0.409 -0.869
-2.285 -5.272 6.014
Cl Tc Zr
1 1 2
direct
0.250 0.250 0.250
0.750 0.750 0.750
0.179 0.179 0.948
0.321 0.321 0.552